Record 1
Computed, not measured: a geometry-optimized Tb2PuOsN4 structure at the PBE level of DFT.

Lattice parameters (Å, degrees): 3.336 6.076 11.663 90.00 90.00 105.93
Atoms (fractional coordinates):
Tb 0.369 0.739 0.956
Tb 0.631 0.261 0.044
Tb 0.631 0.261 0.456
Tb 0.369 0.739 0.544
N 0.462 0.925 0.750
N 0.000 0.000 0.500
N 0.726 0.452 0.635
N 0.274 0.548 0.365
N 0.538 0.075 0.250
N 0.726 0.452 0.865
N 0.000 0.000 0.000
N 0.274 0.548 0.135
Os 0.856 0.712 0.750
Os 0.144 0.288 0.250
Pu 0.116 0.231 0.750
Pu 0.884 0.769 0.250

Properties
Symmetry: Cmcm
ΔE_f (raw) in eV per atom: -0.870
Total energy in eV per cell: -150.2



Record 2
Computed, not measured: a geometry-optimized PuTh2OsN4 structure at the PBE level of DFT.

Lattice parameters (Å, degrees): 3.408 6.237 12.119 90.00 90.00 105.86
Atoms (fractional coordinates):
Os 0.847 0.695 0.750
Os 0.153 0.305 0.250
N 0.000 0.000 0.500
N 0.282 0.563 0.366
N 0.282 0.563 0.134
N 0.000 0.000 0.000
N 0.718 0.437 0.634
N 0.718 0.437 0.866
N 0.542 0.084 0.250
N 0.458 0.916 0.750
Th 0.632 0.265 0.053
Th 0.368 0.735 0.947
Th 0.368 0.735 0.553
Th 0.632 0.265 0.447
Pu 0.109 0.219 0.750
Pu 0.891 0.781 0.250

Properties
Symmetry: Cmcm
ΔE_f (raw) in eV per atom: -0.906
Total energy in eV per cell: -161.9



Record 3
Computed, not measured: a geometry-optimized Y2PuOsN4 structure at the PBE level of DFT.

Lattice parameters (Å, degrees): 3.333 6.058 11.646 90.00 90.00 105.97
Atoms (fractional coordinates):
Y 0.369 0.739 0.956
Y 0.631 0.261 0.044
Y 0.369 0.739 0.544
Y 0.631 0.261 0.456
Os 0.143 0.286 0.250
Os 0.857 0.714 0.750
N 0.000 0.000 0.000
N 0.537 0.074 0.250
N 0.727 0.455 0.634
N 0.273 0.545 0.366
N 0.000 0.000 0.500
N 0.727 0.455 0.866
N 0.463 0.926 0.750
N 0.273 0.545 0.134
Pu 0.883 0.767 0.250
Pu 0.117 0.233 0.750

Properties
Symmetry: Cmcm
ΔE_f (raw) in eV per atom: -0.872
Total energy in eV per cell: -157.5



Record 4
Computed, not measured: a geometry-optimized Rb3OsN structure at the PBE level of DFT.

Lattice parameters (Å, degrees): 5.734 5.734 5.734 90.00 90.00 90.00
Atoms (fractional coordinates):
Rb 0.000 0.000 0.500
Rb 0.000 0.500 0.000
Rb 0.500 0.000 0.000
N 0.000 0.000 0.000
Os 0.500 0.500 0.500

Properties
Energy above the lowest structure with this stoichiometry in eV per atom: 0.000
Symmetry: Pm-3m
ΔE_f (raw) in eV per atom: 1.600
Total energy in eV per cell: -14.5



Record 5
Computed, not measured: a geometry-optimized RbOs2N structure at the PBE level of DFT.

Lattice parameters (Å, degrees): 6.306 6.306 6.239 59.65 59.65 90.00
Atoms (fractional coordinates):
Rb 0.000 0.000 0.000
Rb 0.750 0.250 0.500
Os 0.875 0.607 0.750
Os 0.357 0.125 0.250
Os 0.375 0.643 0.750
Os 0.393 0.625 0.250
N 0.250 0.750 0.500
N 0.500 0.500 0.000

Properties
Symmetry: I-42d
ΔE_f (raw) in eV per atom: 1.150
Total energy in eV per cell: -54.3



Record 6
Computed, not measured: a geometry-optimized RbOsN3 structure at the PBE level of DFT.

Lattice parameters (Å, degrees): 4.155 4.155 4.155 90.00 90.00 90.00
Atoms (fractional coordinates):
N 0.000 0.000 0.500
N 0.000 0.500 0.000
N 0.500 0.000 0.000
Os 0.500 0.500 0.500
Rb 0.000 0.000 0.000

Properties
Symmetry: Pm-3m
ΔE_f (raw) in eV per atom: 4.208
Total energy in eV per cell: -16.1



Record 7
Computed, not measured: a geometry-optimized RbOsN3 structure at the PBE level of DFT.

Lattice parameters (Å, degrees): 3.960 3.960 3.960 90.00 90.00 90.00
Atoms (fractional coordinates):
Rb 0.500 0.500 0.500
N 0.000 0.000 0.500
N 0.500 0.000 0.000
N 0.000 0.500 0.000
Os 0.000 0.000 0.000

Properties
Symmetry: Pm-3m
ΔE_f (raw) in eV per atom: 0.760
Total energy in eV per cell: -33.4



Record 8
Computed, not measured: a geometry-optimized RbOsS2N structure at the PBE level of DFT.

Lattice parameters (Å, degrees): 5.030 5.030 3.774 90.00 90.00 90.00
Atoms (fractional coordinates):
N 0.000 0.000 0.500
Rb 0.500 0.500 0.500
S 0.000 0.500 0.000
S 0.500 0.000 0.000
Os 0.000 0.000 0.000

Properties
Energy above the lowest structure with this stoichiometry in eV per atom: 0.000
Symmetry: P4/mmm
ΔE_f (raw) in eV per atom: 0.097
Total energy in eV per cell: -28.3



Record 9
Computed, not measured: a geometry-optimized RbOsS2N structure at the PBE level of DFT.

Lattice parameters (Å, degrees): 5.387 5.387 4.278 90.00 90.00 90.00
Atoms (fractional coordinates):
S 0.000 0.500 0.000
S 0.500 0.000 0.000
N 0.000 0.000 0.500
Os 0.500 0.500 0.500
Rb 0.000 0.000 0.000

Properties
Energy above the lowest structure with this stoichiometry in eV per atom: 3.051
Symmetry: P4/mmm
ΔE_f (raw) in eV per atom: 3.148
Total energy in eV per cell: -13.0



Record 10
Computed, not measured: a geometry-optimized RbScOsN2 structure at the PBE level of DFT.

Lattice parameters (Å, degrees): 4.021 5.105 4.021 90.00 90.00 90.00
Atoms (fractional coordinates):
N 0.500 0.000 0.000
N 0.000 0.000 0.500
Rb 0.500 0.500 0.500
Sc 0.000 0.500 0.000
Os 0.000 0.000 0.000

Properties
Symmetry: P4/mmm
ΔE_f (raw) in eV per atom: 0.902
Total energy in eV per cell: -30.7



Record 11
Computed, not measured: a geometry-optimized RbOsSe2N structure at the PBE level of DFT.

Lattice parameters (Å, degrees): 5.377 5.377 3.739 90.00 90.00 90.00
Atoms (fractional coordinates):
Os 0.000 0.000 0.000
N 0.000 0.000 0.500
Se 0.000 0.500 0.000
Se 0.500 0.000 0.000
Rb 0.500 0.500 0.500

Properties
Energy above the lowest structure with this stoichiometry in eV per atom: 0.000
Symmetry: P4/mmm
ΔE_f (raw) in eV per atom: 0.087
Total energy in eV per cell: -27.1



Record 12
Computed, not measured: a geometry-optimized RbOsSe2N structure at the PBE level of DFT.

Lattice parameters (Å, degrees): 5.733 5.733 4.428 90.00 90.00 90.00
Atoms (fractional coordinates):
Se 0.000 0.500 0.000
Se 0.500 0.000 0.000
N 0.000 0.000 0.500
Rb 0.000 0.000 0.000
Os 0.500 0.500 0.500

Properties
Energy above the lowest structure with this stoichiometry in eV per atom: 2.752
Symmetry: P4/mmm
ΔE_f (raw) in eV per atom: 2.839
Total energy in eV per cell: -13.3